(1)
VASP calculation (PBE-GGA) on a relaxed Tl4In3Bi4 crystal.

The structure in CIF format:
```
data_Tl4In3Bi4
_cell_length_a 3.411
_cell_length_b 5.696
_cell_length_c 17.997
_cell_angle_alpha 100.77
_cell_angle_beta 93.27
_cell_angle_gamma 90.39
_symmetry_space_group_name_H-M 'P 1'
_symmetry_Int_Tables_number 1
loop_
_symmetry_equiv_pos_as_xyz
'x,y,z'
loop_
_atom_site_label
_atom_site_type_symbol
_atom_site_fract_x
_atom_site_fract_y
_atom_site_fract_z
_atom_site_occupancy
In1 In 0.107 0.635 0.275 1
Bi1 Bi 0.003 0.550 0.095 1
In2 In 0.893 0.365 0.725 1
Bi2 Bi 0.143 0.185 0.365 1
Tl1 Tl 0.682 0.727 0.444 1
Tl2 Tl 0.549 0.094 0.179 1
In3 In 0.999 0.000 0.000 1
Bi3 Bi 0.857 0.815 0.635 1
Bi4 Bi 0.998 0.450 0.905 1
Tl3 Tl 0.318 0.273 0.556 1
Tl4 Tl 0.451 0.906 0.821 1
```

Calculated values
DFT total energy: -3.01 eV/atom
DFT formation energy: 0.009 eV/atom
N(E_F): 4.9 states/eV/cell
crystal system: triclinic
volume: 342.97 Å³/cell

(2)
VASP calculation (PBE-GGA) on a relaxed HfTiCd2 crystal.

The structure in CIF format:
```
data_HfTiCd2
_cell_length_a 4.350
_cell_length_b 4.291
_cell_length_c 4.291
_cell_angle_alpha 90.00
_cell_angle_beta 90.00
_cell_angle_gamma 90.00
_symmetry_space_group_name_H-M 'P 1'
_symmetry_Int_Tables_number 1
loop_
_symmetry_equiv_pos_as_xyz
'x,y,z'
loop_
_atom_site_label
_atom_site_type_symbol
_atom_site_fract_x
_atom_site_fract_y
_atom_site_fract_z
_atom_site_occupancy
Ti1 Ti 0.500 0.000 0.000 1
Hf1 Hf 0.500 0.500 0.500 1
Cd1 Cd 0.000 0.000 0.500 1
Cd2 Cd 0.000 0.500 0.000 1
```

Calculated values
DFT total energy: -4.88 eV/atom
DFT formation energy: 0.038 eV/atom
N(E_F): 4.0 states/eV/cell
energy relative to the lowest polymorph listed for this composition: 105 meV per atom
crystal system: tetragonal
volume: 80.09 Å³/cell

(3)
VASP calculation (PBE-GGA) on a relaxed K2NpSnSe4 crystal.

The structure in CIF format:
```
data_K2NpSnSe4
_cell_length_a 4.302
_cell_length_b 7.928
_cell_length_c 7.571
_cell_angle_alpha 72.28
_cell_angle_beta 90.00
_cell_angle_gamma 90.00
_symmetry_space_group_name_H-M 'P 1'
_symmetry_Int_Tables_number 1
loop_
_symmetry_equiv_pos_as_xyz
'x,y,z'
loop_
_atom_site_label
_atom_site_type_symbol
_atom_site_fract_x
_atom_site_fract_y
_atom_site_fract_z
_atom_site_occupancy
Se1 Se 0.500 0.298 0.722 1
Np1 Np 0.000 0.500 0.500 1
Sn1 Sn 0.500 0.500 0.000 1
Se2 Se 0.000 0.295 0.255 1
Se3 Se 0.500 0.702 0.278 1
K1 K 0.000 0.000 0.000 1
Se4 Se 0.000 0.705 0.745 1
K2 K 0.500 0.000 0.500 1
```

Calculated values
DFT total energy: -5.19 eV/atom
N(E_F): 6.3 states/eV/cell
crystal system: monoclinic
volume: 245.99 Å³/cell

(4)
VASP calculation (PBE-GGA) on a relaxed ZnOsPb2 crystal.

The structure in CIF format:
```
data_ZnOsPb2
_cell_length_a 4.646
_cell_length_b 4.646
_cell_length_c 6.546
_cell_angle_alpha 79.63
_cell_angle_beta 79.63
_cell_angle_gamma 43.04
_symmetry_space_group_name_H-M 'P 1'
_symmetry_Int_Tables_number 1
loop_
_symmetry_equiv_pos_as_xyz
'x,y,z'
loop_
_atom_site_label
_atom_site_type_symbol
_atom_site_fract_x
_atom_site_fract_y
_atom_site_fract_z
_atom_site_occupancy
Pb1 Pb 0.239 0.239 0.323 1
Zn1 Zn 0.480 0.480 0.573 1
Os1 Os 0.755 0.755 0.678 1
Pb2 Pb 0.025 0.025 0.925 1
```

Calculated values
DFT total energy: -4.46 eV/atom
DFT formation energy: 0.521 eV/atom
N(E_F): 2.1 states/eV/cell
crystal system: monoclinic
volume: 94.62 Å³/cell

(5)
VASP calculation (PBE-GGA) on a relaxed ZnMoHRh2 crystal.

The structure in CIF format:
```
data_ZnMoHRh2
_cell_length_a 4.822
_cell_length_b 4.822
_cell_length_c 2.901
_cell_angle_alpha 90.00
_cell_angle_beta 90.00
_cell_angle_gamma 90.00
_symmetry_space_group_name_H-M 'P 1'
_symmetry_Int_Tables_number 1
loop_
_symmetry_equiv_pos_as_xyz
'x,y,z'
loop_
_atom_site_label
_atom_site_type_symbol
_atom_site_fract_x
_atom_site_fract_y
_atom_site_fract_z
_atom_site_occupancy
H1 H 0.000 0.000 0.500 1
Rh1 Rh 0.500 0.000 0.000 1
Mo1 Mo 0.500 0.500 0.500 1
Zn1 Zn 0.000 0.000 0.000 1
Rh2 Rh 0.000 0.500 0.000 1
```

Calculated values
DFT total energy: -5.33 eV/atom
N(E_F): 4.6 states/eV/cell
energy relative to the lowest polymorph listed for this composition: 682 meV per atom
crystal system: tetragonal
volume: 67.44 Å³/cell

(6)
VASP calculation (PBE-GGA) on a relaxed LiZrBr2 crystal.

The structure in CIF format:
```
data_LiZrBr2
_cell_length_a 3.424
_cell_length_b 3.424
_cell_length_c 8.324
_cell_angle_alpha 90.00
_cell_angle_beta 90.00
_cell_angle_gamma 90.00
_symmetry_space_group_name_H-M 'P 1'
_symmetry_Int_Tables_number 1
loop_
_symmetry_equiv_pos_as_xyz
'x,y,z'
loop_
_atom_site_label
_atom_site_type_symbol
_atom_site_fract_x
_atom_site_fract_y
_atom_site_fract_z
_atom_site_occupancy
Br1 Br 0.500 0.500 0.388 1
Li1 Li 0.000 0.000 0.463 1
Zr1 Zr 0.500 0.500 0.724 1
Br2 Br 0.000 0.000 0.925 1
```

Calculated values
DFT total energy: -4.29 eV/atom
N(E_F): 2.0 states/eV/cell
energy relative to the lowest polymorph listed for this composition: 0 meV per atom
crystal system: tetragonal
volume: 97.62 Å³/cell

(7)
VASP calculation (PBE-GGA) on a relaxed Nd5Dy6Ho crystal.

The structure in CIF format:
```
data_Nd5Dy6Ho
_cell_length_a 11.868
_cell_length_b 6.242
_cell_length_c 6.240
_cell_angle_alpha 59.99
_cell_angle_beta 84.99
_cell_angle_gamma 79.94
_symmetry_space_group_name_H-M 'P 1'
_symmetry_Int_Tables_number 1
loop_
_symmetry_equiv_pos_as_xyz
'x,y,z'
loop_
_atom_site_label
_atom_site_type_symbol
_atom_site_fract_x
_atom_site_fract_y
_atom_site_fract_z
_atom_site_occupancy
Ho1 Ho 0.000 0.000 0.000 1
Dy1 Dy 0.751 0.083 0.333 1
Dy2 Dy 0.751 0.750 0.000 1
Nd1 Nd 0.000 0.334 0.333 1
Dy3 Dy 0.249 0.585 0.333 1
Nd2 Nd 0.500 0.500 0.000 1
Nd3 Nd 0.500 0.833 0.334 1
Nd4 Nd 0.000 0.666 0.667 1
Dy4 Dy 0.751 0.415 0.667 1
Nd5 Nd 0.500 0.167 0.666 1
Dy5 Dy 0.249 0.250 0.000 1
Dy6 Dy 0.249 0.917 0.667 1
```

Calculated values
DFT total energy: -4.66 eV/atom
DFT formation energy: 0.013 eV/atom
N(E_F): 14.4 states/eV/cell
energy relative to the lowest polymorph listed for this composition: 0 meV per atom
crystal system: monoclinic
volume: 394.11 Å³/cell

(8)
VASP calculation (PBE-GGA) on a relaxed DyTiAg2 crystal.

The structure in CIF format:
```
data_DyTiAg2
_cell_length_a 3.467
_cell_length_b 3.467
_cell_length_c 6.898
_cell_angle_alpha 90.00
_cell_angle_beta 90.00
_cell_angle_gamma 90.00
_symmetry_space_group_name_H-M 'P 1'
_symmetry_Int_Tables_number 1
loop_
_symmetry_equiv_pos_as_xyz
'x,y,z'
loop_
_atom_site_label
_atom_site_type_symbol
_atom_site_fract_x
_atom_site_fract_y
_atom_site_fract_z
_atom_site_occupancy
Ti1 Ti 0.500 0.500 0.000 1
Ag1 Ag 0.000 0.000 0.220 1
Dy1 Dy 0.500 0.500 0.500 1
Ag2 Ag 0.000 0.000 0.780 1
```

Calculated values
DFT total energy: -4.59 eV/atom
DFT formation energy: -0.041 eV/atom
N(E_F): 2.8 states/eV/cell
crystal system: tetragonal
volume: 82.93 Å³/cell

(9)
VASP calculation (PBE-GGA) on a relaxed ZrTc3 crystal.

The structure in CIF format:
```
data_ZrTc3
_cell_length_a 5.689
_cell_length_b 5.689
_cell_length_c 4.666
_cell_angle_alpha 90.00
_cell_angle_beta 90.00
_cell_angle_gamma 120.00
_symmetry_space_group_name_H-M 'P 1'
_symmetry_Int_Tables_number 1
loop_
_symmetry_equiv_pos_as_xyz
'x,y,z'
loop_
_atom_site_label
_atom_site_type_symbol
_atom_site_fract_x
_atom_site_fract_y
_atom_site_fract_z
_atom_site_occupancy
Zr1 Zr 0.333 0.667 0.250 1
Tc1 Tc 0.160 0.840 0.750 1
Tc2 Tc 0.160 0.321 0.750 1
Zr2 Zr 0.667 0.333 0.750 1
Tc3 Tc 0.840 0.679 0.250 1
Tc4 Tc 0.679 0.840 0.750 1
Tc5 Tc 0.840 0.160 0.250 1
Tc6 Tc 0.321 0.160 0.250 1
```

Calculated values
DFT total energy: -9.78 eV/atom
DFT formation energy: 0.135 eV/atom
N(E_F): 11.6 states/eV/cell
crystal system: hexagonal
volume: 130.77 Å³/cell

(10)
VASP calculation (PBE-GGA) on a relaxed SrHgCl crystal.

The structure in CIF format:
```
data_SrHgCl
_cell_length_a 5.024
_cell_length_b 5.024
_cell_length_c 4.655
_cell_angle_alpha 90.00
_cell_angle_beta 90.00
_cell_angle_gamma 120.00
_symmetry_space_group_name_H-M 'P 1'
_symmetry_Int_Tables_number 1
loop_
_symmetry_equiv_pos_as_xyz
'x,y,z'
loop_
_atom_site_label
_atom_site_type_symbol
_atom_site_fract_x
_atom_site_fract_y
_atom_site_fract_z
_atom_site_occupancy
Cl1 Cl 0.000 0.000 0.834 1
Hg1 Hg 0.667 0.333 0.333 1
Sr1 Sr 0.333 0.667 0.833 1
```

Calculated values
DFT total energy: -2.42 eV/atom
N(E_F): 2.3 states/eV/cell
energy relative to the lowest polymorph listed for this composition: 232 meV per atom
crystal system: trigonal
volume: 101.75 Å³/cell

- The highest DFT total energy belongs to which entry?
  SrHgCl

- What is the volume in the ninth record?
  130.77 Å³/cell